No. 1
Compound: Rb2I6BrN
Source: Alexandria
Functional: PBE
Structure: optimized geometry

Geometry as extended XYZ:
```
10
Lattice="-4.9198 -0.3904 6.5221 3.5715 -6.9972 2.2753 3.0548 -0.8198 7.3836" Properties=species:S:1:pos:R:3 pbc="T T T"
I 1.0424 -2.3709 5.7727
I 0.6642 -5.8365 10.4083
I -0.3691 -2.0227 2.4087
I -0.9791 -5.3649 6.3887
I -2.5949 -2.1993 5.3593
I 1.2466 -5.1883 3.4381
Br 0.0000 0.0000 0.0000
Rb -1.2695 -2.4520 9.1521
Rb 2.9761 -5.7554 7.0288
N -0.6741 -3.6938 4.3987
```

Output
space-group type = I4/mmm
E_form (uncorrected) = -123.0 kJ/mol of formula units
uncorrected energy = -22.5 eV/f.u.



No. 2
Compound: AgPdI2
Source: Alexandria
Functional: PBE
Structure: optimized geometry

Geometry as extended XYZ:
```
4
Lattice="4.4436 -0.0007 -0.0004 -2.2217 3.8497 0.0014 -0.0009 -0.0014 7.6403" Properties=species:S:1:pos:R:3 pbc="T T T"
Ag -0.0511 3.1894 1.5949
Pd 2.1673 1.9083 5.2160
I 2.1699 1.9060 0.3815
I -0.0543 3.1922 4.4143
```

Output
space-group type = P3m1
E_form (uncorrected) = -25.9 kJ/mol of formula units
uncorrected energy = -11.4 eV/f.u.